No. 1
First-principles (PBE-GGA) data for MnHg3I8 after structural relaxation, as listed in the Alexandria database.

Structure (POSCAR):
```
MnHg3I8
1.0
4.334 0.000 -1.276
-1.216 11.771 -4.130
1.095 -0.650 11.715
Mn Hg I
1 3 8
Cartesian
1.271 8.625 4.317
2.569 2.041 8.725
2.943 2.415 1.998
1.636 8.998 -2.440
1.961 7.503 6.658
1.041 11.177 3.534
4.380 3.308 6.877
1.152 3.636 3.911
3.106 7.593 2.551
-0.201 7.636 -0.681
2.226 3.682 -0.438
2.001 11.529 -1.203
```

Summary:
Energy relative to the elements, uncorrected (meV/atom): -275
Calculated volume (Å³ per atom): 50.12
Symmetry: Cm, No. 8

No. 2
First-principles (PBE-GGA) data for Er6TmCd5 after structural relaxation, as listed in the Alexandria database.

Structure (POSCAR):
```
Er6TmCd5
1.0
-4.882 1.331 1.227
-2.627 -6.157 -3.777
4.255 -1.876 7.920
Cd Tm Er
5 1 6
Cartesian
-2.288 -0.645 2.644
0.332 -2.845 4.408
-1.314 -3.079 -1.888
-3.586 -3.857 0.962
-0.966 -6.057 2.726
0.000 0.000 0.000
-2.756 -3.670 4.064
-1.467 -0.650 5.917
-4.366 -3.847 -2.155
-3.143 -0.979 -0.396
-1.787 -6.052 -0.547
-0.499 -3.032 1.306
```

Summary:
Formation energy from the elements (eV/atom): -0.2115
Calculated volume (Å³ per atom): 26.43
Symmetry: Immm, No. 71

No. 3
First-principles (PBE-GGA) data for Rb2LiOsI6 after structural relaxation, as listed in the Alexandria database.

Structure (POSCAR):
```
Rb2LiOsI6
1.0
8.109 0.000 0.000
0.000 8.109 0.000
4.054 4.054 5.737
I Os Rb Li
6 1 2 1
Cartesian
4.054 4.054 3.012
8.109 8.109 2.725
1.926 1.926 0.000
6.183 6.183 0.000
6.183 1.926 0.000
1.926 6.183 0.000
0.000 0.000 0.000
8.109 4.054 2.868
4.054 8.109 2.868
4.054 4.054 0.000
```

Summary:
Energy relative to the elements, uncorrected (meV/atom): -662
Calculated volume (Å³ per atom): 37.72
Symmetry: Fm-3m, No. 225

No. 4
First-principles (PBE-GGA) data for TmGe3Au3 after structural relaxation, as listed in the Alexandria database.

Structure (POSCAR):
```
TmGe3Au3
1.0
7.054 0.000 0.000
0.000 7.054 0.000
0.000 0.000 7.054
Ge Tm Au
6 2 6
Cartesian
1.763 0.000 3.527
0.000 3.527 1.763
3.527 5.290 0.000
5.290 0.000 3.527
0.000 3.527 5.290
3.527 1.763 0.000
3.527 3.527 3.527
0.000 0.000 0.000
0.000 1.763 3.527
0.000 5.290 3.527
3.527 0.000 5.290
5.290 3.527 0.000
3.527 0.000 1.763
1.763 3.527 0.000
```

Summary:
Formation energy from the elements (eV/atom): 0.1567
Calculated volume (Å³ per atom): 25.07
Symmetry: Pm-3n, No. 223

No. 5
First-principles (PBE-GGA) data for LiZrIr2 after structural relaxation, as listed in the Alexandria database.

Structure (POSCAR):
```
LiZrIr2
1.0
2.784 0.007 0.000
-0.007 2.784 0.000
0.000 0.000 8.669
Ir Li Zr
2 1 1
Cartesian
0.000 0.000 0.261
1.388 1.395 2.071
0.000 0.000 3.986
1.388 1.395 6.685
```

Summary:
Formation energy from the elements (eV/atom): -0.0061
Calculated volume (Å³ per atom): 16.80
Symmetry: P4mm, No. 99

No. 6
First-principles (PBE-GGA) data for Ca2TlRhN after structural relaxation, as listed in the Alexandria database.

Structure (POSCAR):
```
Ca2TlRhN
1.0
5.119 0.000 0.000
0.000 5.119 0.000
0.000 0.000 3.902
Tl Rh Ca N
1 1 2 1
Cartesian
2.560 2.560 1.951
0.000 0.000 1.951
0.000 2.560 0.000
2.560 0.000 0.000
0.000 0.000 0.000
```

Summary:
Energy relative to the elements, uncorrected (meV/atom): -527
Calculated volume (Å³ per atom): 20.45
Symmetry: P4/mmm, No. 123

No. 7
First-principles (PBE-GGA) data for HfNbS3 after structural relaxation, as listed in the Alexandria database.

Structure (POSCAR):
```
HfNbS3
1.0
4.737 0.000 0.000
0.000 4.737 0.000
0.000 0.000 4.737
Hf Nb S
1 1 3
Cartesian
2.368 2.368 2.368
0.000 0.000 0.000
0.000 2.368 0.000
0.000 0.000 2.368
2.368 0.000 0.000
```

Summary:
Energy relative to the elements, uncorrected (meV/atom): -94
Calculated volume (Å³ per atom): 21.26
Symmetry: Pm-3m, No. 221

No. 8
First-principles (PBE-GGA) data for DyErCuAg after structural relaxation, as listed in the Alexandria database.

Structure (POSCAR):
```
DyErCuAg
1.0
5.015 0.000 0.000
2.508 4.343 0.000
2.508 1.448 4.095
Dy Cu Ag Er
1 1 1 1
Cartesian
0.000 0.000 0.000
2.508 1.448 1.024
7.523 4.343 3.071
5.015 2.896 2.048
```

Summary:
Formation energy from the elements (eV/atom): -0.2747
Calculated volume (Å³ per atom): 22.30
Symmetry: F-43m, No. 216

No. 9
First-principles (PBE-GGA) data for Li2YW after structural relaxation, as listed in the Alexandria database.

Structure (POSCAR):
```
Li2YW
1.0
-0.785 -4.251 3.511
0.840 -5.319 1.420
4.019 -0.892 3.579
Li W Y
2 1 1
Cartesian
3.658 -0.973 3.340
3.373 -7.857 6.635
1.851 -5.080 4.034
1.246 -2.676 2.335
```

Summary:
Formation energy from the elements (eV/atom): 0.5851
Calculated volume (Å³ per atom): 18.72
Symmetry: Cm, No. 8

No. 10
First-principles (PBE-GGA) data for LaPrEr5 after structural relaxation, as listed in the Alexandria database.

Structure (POSCAR):
```
LaPrEr5
1.0
5.770 0.000 0.000
2.885 7.321 0.468
2.885 1.770 7.120
La Pr Er
1 1 5
Cartesian
0.000 0.000 0.000
5.770 4.546 3.794
5.770 2.759 5.934
5.770 6.332 1.654
5.770 2.305 1.924
5.770 6.786 5.664
2.885 4.546 3.794
```

Summary:
Formation energy from the elements (eV/atom): 1.1140
Calculated volume (Å³ per atom): 42.28
Symmetry: Immm, No. 71

No. 11
First-principles (PBE-GGA) data for TlOsN3 after structural relaxation, as listed in the Alexandria database.

Structure (POSCAR):
```
TlOsN3
1.0
-0.250 -1.596 3.816
3.274 -2.413 -0.794
2.528 2.967 1.406
Tl Os N
1 1 3
Cartesian
0.000 0.000 0.000
2.776 -0.521 2.214
1.637 -1.206 -0.397
1.264 1.484 0.703
-0.125 -0.798 1.908
```

Summary:
Energy relative to the elements, uncorrected (meV/atom): 3354
Calculated volume (Å³ per atom): 14.23
Symmetry: Pm-3m, No. 221

No. 12
First-principles (PBE-GGA) data for Tb5Tm2Sc4 after structural relaxation, as listed in the Alexandria database.

Structure (POSCAR):
```
Tb5Tm2Sc4
1.0
3.495 0.000 0.000
0.000 8.695 -0.171
0.000 1.015 10.688
Tb Tm Sc
5 2 4
Cartesian
0.000 4.261 3.500
0.000 7.554 1.274
0.000 4.347 -0.086
0.000 2.156 9.243
0.000 5.449 7.017
0.000 8.693 6.633
0.000 1.017 3.883
1.747 2.713 6.101
1.747 7.827 9.148
1.747 6.997 4.416
1.747 1.883 1.369
```

Summary:
Formation energy from the elements (eV/atom): 0.0991
Calculated volume (Å³ per atom): 29.58
Symmetry: P2/m, No. 10

No. 13
First-principles (PBE-GGA) data for PmHoTm2Sb4 after structural relaxation, as listed in the Alexandria database.

Structure (POSCAR):
```
PmHoTm2Sb4
1.0
-1.170 2.900 -3.079
-6.959 -3.025 -0.204
-4.452 3.544 5.029
Pm Ho Tm Sb
1 1 2 4
Cartesian
-4.065 -0.062 -1.642
-5.706 0.260 2.413
-4.452 3.544 5.029
-2.811 3.222 0.975
-8.584 0.344 3.586
-3.997 3.075 -1.839
-6.961 0.059 -0.426
-5.620 3.360 2.173
```

Summary:
Energy relative to the elements, uncorrected (meV/atom): -1104
Calculated volume (Å³ per atom): 29.81
Symmetry: P2/m, No. 10

No. 14
First-principles (PBE-GGA) data for ZrBeSbN2 after structural relaxation, as listed in the Alexandria database.

Structure (POSCAR):
```
ZrBeSbN2
1.0
4.130 0.000 0.000
0.000 4.427 0.000
0.000 0.000 4.130
Sb Be Zr N
1 1 1 2
Cartesian
0.000 0.000 0.000
0.000 2.214 0.000
2.065 2.214 2.065
0.000 0.000 2.065
2.065 0.000 0.000
```

Summary:
Energy relative to the elements, uncorrected (meV/atom): 1221
Calculated volume (Å³ per atom): 15.10
Symmetry: P4/mmm, No. 123

No. 15
First-principles (PBE-GGA) data for MgPb2W after structural relaxation, as listed in the Alexandria database.

Structure (POSCAR):
```
MgPb2W
1.0
-2.548 -3.487 -4.050
2.652 -5.081 -1.485
-2.163 3.103 4.555
Mg Pb W
1 2 1
Cartesian
0.273 -3.310 0.035
0.000 -0.023 -0.015
-2.332 -2.163 -1.021
0.052 -4.252 -2.747
```

Summary:
Formation energy from the elements (eV/atom): 0.7549
Calculated volume (Å³ per atom): 22.33
Symmetry: Imm2, No. 44

No. 16
First-principles (PBE-GGA) data for CuTcN after structural relaxation, as listed in the Alexandria database.

Structure (POSCAR):
```
CuTcN
1.0
2.779 0.000 0.000
0.000 4.706 0.000
0.000 0.000 11.177
Cu N Tc
4 4 4
Cartesian
2.084 1.554 0.631
2.084 0.800 6.219
0.695 3.907 4.958
0.695 3.153 10.547
2.084 2.385 7.303
2.084 4.674 1.714
0.695 0.032 9.463
0.695 2.321 3.875
2.084 0.949 3.413
2.084 1.405 9.002
0.695 3.302 2.176
0.695 3.758 7.764
```

Summary:
Energy relative to the elements, uncorrected (meV/atom): 233
Calculated volume (Å³ per atom): 12.18
Symmetry: Pnma, No. 62

No. 17
First-principles (PBE-GGA) data for RbSrAs2Br after structural relaxation, as listed in the Alexandria database.

Structure (POSCAR):
```
RbSrAs2Br
1.0
-1.501 -2.387 5.321
5.172 -3.083 0.077
2.698 4.597 2.823
Sr As Br Rb
1 2 1 1
Cartesian
0.000 0.000 0.000
2.586 -1.541 0.038
-0.751 -1.193 2.660
1.349 2.299 1.412
3.185 -0.436 4.111
```

Summary:
Energy relative to the elements, uncorrected (meV/atom): -298
Calculated volume (Å³ per atom): 43.75
Symmetry: P4/mmm, No. 123

No. 18
First-principles (PBE-GGA) data for LiTmMgTl2 after structural relaxation, as listed in the Alexandria database.

Structure (POSCAR):
```
LiTmMgTl2
1.0
-3.763 2.250 -2.396
2.867 -3.312 -2.403
-3.778 -4.506 1.704
Li Tm Mg Tl
1 1 1 2
Cartesian
-2.811 -1.105 -1.831
-3.765 -4.490 1.698
-1.874 -4.476 -1.260
-0.093 -2.352 -2.063
-4.585 -3.220 -1.031
```

Summary:
Formation energy from the elements (eV/atom): -0.0772
Calculated volume (Å³ per atom): 26.47
Symmetry: P3m1, No. 156

No. 19
First-principles (PBE-GGA) data for Hf12In3Ga after structural relaxation, as listed in the Alexandria database.

Structure (POSCAR):
```
Hf12In3Ga
1.0
4.407 0.000 0.000
0.000 4.407 0.000
0.000 0.000 17.558
Hf In Ga
12 3 1
Cartesian
2.203 2.203 0.000
2.203 2.203 4.329
2.203 2.203 8.779
2.203 2.203 13.229
2.203 0.000 2.101
2.203 0.000 6.556
2.203 0.000 11.002
2.203 0.000 15.457
0.000 2.203 2.101
0.000 2.203 6.556
0.000 2.203 11.002
0.000 2.203 15.457
0.000 0.000 4.334
0.000 0.000 8.779
0.000 0.000 13.225
0.000 0.000 0.000
```

Summary:
Formation energy from the elements (eV/atom): -0.1654
Calculated volume (Å³ per atom): 21.31
Symmetry: P4/mmm, No. 123

No. 20
First-principles (PBE-GGA) data for ScWC3 after structural relaxation, as listed in the Alexandria database.

Structure (POSCAR):
```
ScWC3
1.0
4.052 0.000 0.000
0.000 4.052 0.000
0.000 0.000 4.052
Sc C W
1 3 1
Cartesian
2.026 2.026 2.026
0.000 2.026 0.000
0.000 0.000 2.026
2.026 0.000 0.000
0.000 0.000 0.000
```

Summary:
Formation energy from the elements (eV/atom): 1.0201
Calculated volume (Å³ per atom): 13.30
Symmetry: Pm-3m, No. 221

No. 21
First-principles (PBE-GGA) data for BaBeTc2 after structural relaxation, as listed in the Alexandria database.

Structure (POSCAR):
```
BaBeTc2
1.0
-0.689 -2.942 -0.631
4.863 -0.974 -0.768
0.496 -1.087 4.522
Be Ba Tc
1 1 2
Cartesian
2.680 -1.030 1.877
-0.096 -2.014 1.945
0.000 0.000 0.000
2.087 -1.958 -0.700
```

Summary:
Formation energy from the elements (eV/atom): 1.2783
Calculated volume (Å³ per atom): 18.12
Symmetry: Pmmm, No. 47

No. 22
First-principles (PBE-GGA) data for ScCdRu2 after structural relaxation, as listed in the Alexandria database.

Structure (POSCAR):
```
ScCdRu2
1.0
-3.278 2.678 2.072
-4.402 -0.071 1.681
0.863 -1.062 4.991
Cd Ru Sc
1 2 1
Cartesian
-1.704 0.386 2.186
0.800 -1.022 4.887
-3.345 0.732 4.476
-5.113 1.159 6.558
```

Summary:
Formation energy from the elements (eV/atom): 0.0630
Calculated volume (Å³ per atom): 16.96
Symmetry: C2/m, No. 12

Values of spin magnetization, in order: 5.0, 0.0, 1.0, 0.0, 0.0, 0.0, 1.2, 0.0, 0.0, 0.0, 1.4, 0.0, 0.0, 0.0, 0.0, 0.0, 2.3, 0.0, 0.0, 0.0, 1.1, 0.0, all in μB per cell.